Entry 1:
Below is an optimized crystal structure of SmDy2Tm4, with properties calculated at the GGA-PBE level.

Output
Volume in Å³ per atom: 31.04
Energy above the most stable polymorph in this dataset in meV per atom: 0

Cell: 16.499 3.499 8.661 Å, 90.00 119.63 90.00°
Space group C2/m (No. 12)
One atom of each set of equivalent atoms:
Sm 0.000 0.000 0.000 x2
Dy 0.070 0.000 0.430 x4
Tm 0.144 0.500 0.836 x4
Tm 0.205 0.500 0.294 x4

=====

Entry 2:
Below is an optimized crystal structure of Sm3Dy2Tm, with properties calculated at the GGA-PBE level.

Output
Volume in Å³ per atom: 32.41

Cell: 17.784 7.206 6.244 Å, 90.00 103.54 90.00°
Space group C2/c (No. 15)
One atom of each set of equivalent atoms:
Sm 0.000 0.127 0.250 x4
Sm 0.167 0.125 0.026 x8
Dy 0.166 0.376 0.529 x8
Tm 0.000 0.377 0.750 x4

=====

Entry 3:
Below is an optimized crystal structure of SmDy3Tm, with properties calculated at the GGA-PBE level.

Output
Volume in Å³ per atom: 31.84
Energy above the most stable polymorph in this dataset in meV per atom: 3

Cell: 6.521 6.681 8.929 Å, 80.06 69.32 61.02°
Space group P-1 (No. 2)
One atom of each set of equivalent atoms:
Sm 0.129 0.144 0.345 x2
Dy 0.268 0.849 0.845 x2
Dy 0.297 0.298 0.952 x2
Dy 0.398 0.302 0.551 x2
Tm 0.179 0.646 0.248 x2

=====

Entry 4:
Below is an optimized crystal structure of SmDy10Tm4, with properties calculated at the GGA-PBE level.

Output
Volume in Å³ per atom: 32.41

Cell: 9.657 9.657 10.425 Å, 90.00 90.00 90.00°
Space group I4/m (No. 87)
One atom of each set of equivalent atoms:
Sm 0.000 0.000 0.000 x2
Dy 0.000 0.500 0.250 x4
Dy 0.113 0.785 0.341 x16
Tm 0.070 0.664 0.000 x8

=====

Entry 5:
Below is an optimized crystal structure of Sm2DyTm5, with properties calculated at the GGA-PBE level.

Output
Volume in Å³ per atom: 31.41
Energy above the most stable polymorph in this dataset in meV per atom: 150

Cell: 16.103 9.762 6.470 Å, 90.00 98.86 90.00°
Space group C2/c (No. 15)
One atom of each set of equivalent atoms:
Sm 0.079 0.244 0.118 x8
Dy 0.250 0.250 0.000 x4
Tm 0.000 0.443 0.750 x4
Tm 0.100 0.092 0.646 x8
Tm 0.197 0.413 0.524 x8

=====

Entry 6:
Below is an optimized crystal structure of Sm4Dy8Tm3, with properties calculated at the GGA-PBE level.

Output
Volume in Å³ per atom: 33.14

Cell: 13.353 12.783 6.728 Å, 90.00 120.05 90.00°
Space group C2/m (No. 12)
One atom of each set of equivalent atoms:
Sm 0.000 0.000 0.000 x2
Sm 0.000 0.000 0.500 x2
Sm 0.250 0.250 0.000 x4
Dy 0.000 0.254 0.000 x4
Dy 0.000 0.361 0.500 x4
Dy 0.229 0.500 0.959 x4
Dy 0.234 0.500 0.486 x4
Tm 0.000 0.500 0.000 x2
Tm 0.250 0.250 0.500 x4

=====

Entry 7:
Below is an optimized crystal structure of Sm3Dy4Tm2, with properties calculated at the GGA-PBE level.

Output
Volume in Å³ per atom: 31.83

Cell: 16.443 11.559 6.069 Å, 90.00 96.68 90.00°
Space group C2/c (No. 15)
One atom of each set of equivalent atoms:
Sm 0.000 0.099 0.250 x4
Sm 0.167 0.400 0.079 x8
Dy 0.047 0.362 0.515 x8
Dy 0.213 0.138 0.349 x8
Tm 0.118 0.138 0.817 x8

=====

Entry 8:
Below is an optimized crystal structure of Sm7Dy3Tm2, with properties calculated at the GGA-PBE level.

Output
Volume in Å³ per atom: 34.46
Energy above the most stable polymorph in this dataset in meV per atom: 184

Cell: 6.5405 6.5405 33.4904 Å, 90.00 90.00 120.00°
Space group R-3m (No. 166, hexagonal axes)
One atom of each set of equivalent atoms:
Sm 0.0000 0.0000 0.0000 x3
Sm 0.0056 0.5028 0.4159 x18
Dy 0.0000 0.0000 0.3475 x6
Dy 0.0000 0.0000 0.5000 x3
Tm 0.0000 0.0000 0.1660 x6

=====

Entry 9:
Below is an optimized crystal structure of Sm12DyTm7, with properties calculated at the GGA-PBE level.

Output
Volume in Å³ per atom: 33.75
Energy above the most stable polymorph in this dataset in meV per atom: 0

Cell: 19.5299 19.5299 6.1306 Å, 90.00 90.00 120.00°
Space group R-3 (No. 148, hexagonal axes)
One atom of each set of equivalent atoms:
Sm 0.9998 0.4135 0.9999 x18
Sm 0.0981 0.5487 0.4630 x18
Dy 0.0000 0.0000 0.5000 x3
Tm 0.0000 0.0000 0.0000 x3
Tm 0.0809 0.1624 0.2928 x18

=====

Entry 10:
Below is an optimized crystal structure of Sm2Dy5Tm4, with properties calculated at the GGA-PBE level.

Output
Volume in Å³ per atom: 32.01
Energy above the most stable polymorph in this dataset in meV per atom: 0

Cell: 10.984 7.301 9.209 Å, 90.00 107.52 90.00°
Space group C2/m (No. 12)
One atom of each set of equivalent atoms:
Sm 0.147 0.000 0.123 x4
Dy 0.000 0.000 0.500 x2
Dy 0.068 0.281 0.778 x8
Tm 0.169 0.500 0.124 x4
Tm 0.177 0.500 0.498 x4

=====

Entry 11:
Below is an optimized crystal structure of SmDy5Tm3, with properties calculated at the GGA-PBE level.

Output
Volume in Å³ per atom: 34.04
Energy above the most stable polymorph in this dataset in meV per atom: 381

Cell: 16.762 7.943 12.133 Å, 90.00 130.66 90.00°
Space group C2/m (No. 12)
One atom of each set of equivalent atoms:
Sm 0.235 0.000 0.130 x4
Dy 0.000 0.321 0.000 x4
Dy 0.064 0.207 0.779 x8
Dy 0.125 0.000 0.567 x4
Dy 0.201 0.500 0.070 x4
Tm 0.000 0.000 0.000 x2
Tm 0.000 0.500 0.500 x2
Tm 0.121 0.500 0.318 x4
Tm 0.170 0.000 0.338 x4

=====

Entry 12:
Below is an optimized crystal structure of SmDy4Tm7, with properties calculated at the GGA-PBE level.

Output
Volume in Å³ per atom: 32.03
Energy above the most stable polymorph in this dataset in meV per atom: 286

Cell: 11.994 5.789 12.547 Å, 90.00 118.08 90.00°
Space group C2/m (No. 12)
One atom of each set of equivalent atoms:
Sm 0.000 0.000 0.000 x2
Dy 0.134 0.500 0.775 x4
Dy 0.245 0.000 0.681 x4
Tm 0.000 0.500 0.000 x2
Tm 0.061 0.000 0.325 x4
Tm 0.135 0.500 0.502 x4
Tm 0.211 0.000 0.923 x4

=====

Entry 13:
Below is an optimized crystal structure of Sm12Dy3Tm, with properties calculated at the GGA-PBE level.

Output
Volume in Å³ per atom: 33.02

Cell: 5.096 5.096 20.348 Å, 90.00 90.00 90.00°
Space group P4/mmm (No. 123)
One atom of each set of equivalent atoms:
Sm 0.000 0.000 0.000 x1
Sm 0.000 0.000 0.249 x2
Sm 0.000 0.000 0.500 x1
Sm 0.000 0.500 0.124 x4
Sm 0.000 0.500 0.375 x4
Dy 0.500 0.500 0.249 x2
Dy 0.500 0.500 0.500 x1
Tm 0.500 0.500 0.000 x1

=====

Entry 14:
Below is an optimized crystal structure of Sm7DyTm2, with properties calculated at the GGA-PBE level.

Output
Volume in Å³ per atom: 40.41
Energy above the most stable polymorph in this dataset in meV per atom: 644

Cell: 8.797 16.385 5.607 Å, 90.00 90.00 90.00°
Space group Cmmm (No. 65)
One atom of each set of equivalent atoms:
Sm 0.000 0.000 0.000 x2
Sm 0.000 0.284 0.500 x4
Sm 0.178 0.387 0.000 x8
Dy 0.000 0.500 0.500 x2
Tm 0.000 0.205 0.000 x4

=====

Entry 15:
Below is an optimized crystal structure of Sm6Dy8Tm, with properties calculated at the GGA-PBE level.

Output
Volume in Å³ per atom: 32.86
Energy above the most stable polymorph in this dataset in meV per atom: 59

Cell: 9.3718 9.3718 6.4810 Å, 90.00 90.00 120.00°
Space group P-3 (No. 147)
One atom of each set of equivalent atoms:
Sm 0.0340 0.7504 0.1678 x6
Dy 0.0927 0.6533 0.6620 x6
Dy 0.3333 0.6667 0.1250 x2
Tm 0.0000 0.0000 0.5000 x1

=====

Entry 16:
Below is an optimized crystal structure of Sm12DyTm7, with properties calculated at the GGA-PBE level.

Output
Volume in Å³ per atom: 33.20
Energy above the most stable polymorph in this dataset in meV per atom: 32

Cell: 12.8428 12.8428 13.9469 Å, 90.00 90.00 120.00°
Space group R-3 (No. 148, hexagonal axes)
One atom of each set of equivalent atoms:
Sm 0.0013 0.5673 0.2477 x18
Sm 0.0669 0.8693 0.3421 x18
Dy 0.0000 0.0000 0.0000 x3
Tm 0.0000 0.0000 0.5000 x3
Tm 0.0672 0.1996 0.8541 x18

=====

Entry 17:
Below is an optimized crystal structure of Sm7Dy3Tm, with properties calculated at the GGA-PBE level.

Output
Volume in Å³ per atom: 33.54
Energy above the most stable polymorph in this dataset in meV per atom: 0

Cell: 7.045 5.605 9.973 Å, 90.00 110.43 90.00°
Space group P2/m (No. 10)
One atom of each set of equivalent atoms:
Sm 0.000 0.000 0.000 x1
Sm 0.145 0.500 0.292 x2
Sm 0.322 0.500 0.639 x2
Sm 0.416 0.000 0.829 x2
Dy 0.000 0.000 0.500 x1
Dy 0.280 0.500 0.000 x2
Tm 0.500 0.000 0.500 x1

=====

Entry 18:
Below is an optimized crystal structure of Sm10Dy4Tm, with properties calculated at the GGA-PBE level.

Output
Volume in Å³ per atom: 38.76

Cell: 12.259 12.259 7.737 Å, 90.00 90.00 90.00°
Space group I4/m (No. 87)
One atom of each set of equivalent atoms:
Sm 0.000 0.500 0.250 x4
Sm 0.099 0.200 0.249 x16
Dy 0.100 0.701 0.500 x8
Tm 0.000 0.000 0.000 x2

=====

Number 1: energy of formation 0.0385 eV/atom, density 8.8 Mg/m³, M_tot 0.0 μB per cell. Number 2: energy of formation 0.0074 eV/atom, density 8.1 Mg/m³, M_tot 0.0 μB per cell. Number 3: energy of formation 0.0513 eV/atom, density 8.4 Mg/m³, M_tot 0.0 μB per cell. Number 4: energy of formation 0.3490 eV/atom, density 8.4 Mg/m³, M_tot 0.0 μB per cell. Number 5: energy of formation 0.1732 eV/atom, density 8.6 Mg/m³, M_tot 0.0 μB per cell. Number 6: energy of formation 0.3802 eV/atom, density 8.0 Mg/m³, M_tot 0.1 μB per cell. Number 7: energy of formation 0.1018 eV/atom, density 8.3 Mg/m³, M_tot 0.0 μB per cell. Number 8: energy of formation 0.2973 eV/atom, density 7.5 Mg/m³, M_tot 0.0 μB per cell. Number 9: energy of formation 0.2564 eV/atom, density 7.7 Mg/m³, M_tot 0.0 μB per cell. Number 10: energy of formation 0.1502 eV/atom, density 8.4 Mg/m³, M_tot 0.0 μB per cell. Number 11: energy of formation 0.4317 eV/atom, density 8.0 Mg/m³, M_tot 0.0 μB per cell. Number 12: energy of formation 0.2870 eV/atom, density 8.6 Mg/m³, M_tot 0.0 μB per cell. Number 13: energy of formation 0.0165 eV/atom, density 7.7 Mg/m³, M_tot 0.0 μB per cell. Number 14: energy of formation 0.6621 eV/atom, density 6.4 Mg/m³, M_tot 0.0 μB per cell. Number 15: energy of formation 0.1786 eV/atom, density 8.0 Mg/m³, M_tot 0.0 μB per cell. Number 16: energy of formation 0.2887 eV/atom, density 7.9 Mg/m³, M_tot 0.0 μB per cell. Number 17: energy of formation 0.1252 eV/atom, density 7.7 Mg/m³, M_tot 0.0 μB per cell. Number 18: energy of formation 0.7080 eV/atom, density 6.6 Mg/m³, M_tot 0.0 μB per cell.